Record 1
The following is a DFT calculation (PBE) of La2Ni3Sn4Pd after structural relaxation.

## Properties
**Mass density**: 8075 kg/m3
**ΔE_f**: -0.633 eV per atom

a b c (Å): 4.546 4.546 10.303
angles (deg): 90.00 90.00 90.00
Atoms (fractional coordinates):
1 La 0.000 0.500 0.244
2 La 0.500 0.000 0.756
3 Ni 0.000 0.000 0.000
4 Ni 0.000 0.500 0.623
5 Ni 0.500 0.000 0.377
6 Sn 0.000 0.000 0.500
7 Sn 0.000 0.500 0.868
8 Sn 0.500 0.000 0.132
9 Sn 0.500 0.500 0.500
10 Pd 0.500 0.500 0.000

=====

Record 2
The following is a DFT calculation (PBE) of Sc2VTcGe after structural relaxation.

## Properties
**Mass density**: 5106 kg/m3
**ΔE_f**: 0.818 eV per atom

a b c (Å): 4.643 4.643 4.699
angles (deg): 90.00 90.00 90.00
Atoms (fractional coordinates):
1 Sc 0.000 0.500 0.000
2 Sc 0.500 0.000 0.000
3 V 0.000 0.000 0.000
4 Tc 0.500 0.500 0.500
5 Ge 0.000 0.000 0.500

=====

Record 3
The following is a DFT calculation (PBE) of Li2Zn3 after structural relaxation.

## Properties
**Mass density**: 4242 kg/m3
**ΔE_f**: 0.025 eV per atom

a b c (Å): 4.263 4.263 5.228
angles (deg): 90.00 90.00 120.00
Atoms (fractional coordinates):
1 Li 0.333 0.667 0.348
2 Li 0.667 0.333 0.652
3 Zn 0.000 0.000 0.500
4 Zn 0.333 0.667 0.855
5 Zn 0.667 0.333 0.145

=====

Record 4
The following is a DFT calculation (PBE) of Pr7Ga2Ag2 after structural relaxation.

## Properties
**Mass density**: 6519 kg/m3
**ΔE_f**: -0.044 eV per atom

a b c (Å): 6.837 6.837 7.744
angles (deg): 90.00 90.00 109.28
Atoms (fractional coordinates):
1 Pr 0.000 0.000 0.000
2 Pr 0.000 0.500 0.293
3 Pr 0.000 0.500 0.707
4 Pr 0.500 0.000 0.293
5 Pr 0.500 0.000 0.707
6 Pr 0.500 0.500 0.274
7 Pr 0.500 0.500 0.726
8 Ga 0.162 0.162 0.500
9 Ga 0.838 0.838 0.500
10 Ag 0.290 0.710 0.000
11 Ag 0.710 0.290 0.000

=====

Record 5
The following is a DFT calculation (PBE) of BaNdZnHg after structural relaxation.

## Properties
**Mass density**: 7334 kg/m3
**ΔE_f**: -0.261 eV per atom

a b c (Å): 5.597 5.597 5.597
angles (deg): 60.00 60.00 60.00
Atoms (fractional coordinates):
1 Ba 0.000 0.000 0.000
2 Nd 0.500 0.500 0.500
3 Zn 0.250 0.250 0.250
4 Hg 0.750 0.750 0.750

=====

Record 6
The following is a DFT calculation (PBE) of Li2BeZn2Au5 after structural relaxation.

## Properties
**Mass density**: 11258 kg/m3
**ΔE_f**: -0.280 eV per atom

a b c (Å): 10.627 10.627 2.974
angles (deg): 90.00 90.00 90.00
Atoms (fractional coordinates):
1 Li 0.161 0.339 0.000
2 Li 0.339 0.839 0.000
3 Li 0.661 0.161 0.000
4 Li 0.839 0.661 0.000
5 Be 0.000 0.000 0.000
6 Be 0.500 0.500 0.000
7 Zn 0.145 0.645 0.000
8 Zn 0.355 0.145 0.000
9 Zn 0.645 0.855 0.000
10 Zn 0.855 0.355 0.000
11 Au 0.000 0.500 0.500
12 Au 0.026 0.810 0.500
13 Au 0.190 0.026 0.500
14 Au 0.310 0.526 0.500
15 Au 0.474 0.310 0.500
16 Au 0.500 0.000 0.500
17 Au 0.526 0.690 0.500
18 Au 0.690 0.474 0.500
19 Au 0.810 0.974 0.500
20 Au 0.974 0.190 0.500

=====

Record 7
The following is a DFT calculation (PBE) of LiLu2Ag after structural relaxation.

## Properties
**Mass density**: 8473 kg/m3
**ΔE_f**: -0.108 eV per atom

a b c (Å): 5.050 5.050 5.050
angles (deg): 60.00 60.00 60.00
Atoms (fractional coordinates):
1 Li 0.000 0.000 0.000
2 Lu 0.250 0.250 0.250
3 Lu 0.750 0.750 0.750
4 Ag 0.500 0.500 0.500

=====

Record 8
The following is a DFT calculation (PBE) of Sr4AlSb4 after structural relaxation.

## Properties
**Mass density**: 4486 kg/m3
**Uncorrected formation energy**: -83.15 kJ per mole of atoms

a b c (Å): 9.597 9.597 6.949
angles (deg): 90.00 90.00 90.00
Atoms (fractional coordinates):
1 Sr 0.015 0.250 0.053
2 Sr 0.250 0.015 0.553
3 Sr 0.250 0.485 0.553
4 Sr 0.485 0.250 0.053
5 Sr 0.515 0.750 0.947
6 Sr 0.750 0.515 0.447
7 Sr 0.750 0.985 0.447
8 Sr 0.985 0.750 0.947
9 Al 0.250 0.750 0.250
10 Al 0.750 0.250 0.750
11 Sb 0.013 0.750 0.461
12 Sb 0.250 0.513 0.039
13 Sb 0.250 0.987 0.039
14 Sb 0.487 0.750 0.461
15 Sb 0.513 0.250 0.539
16 Sb 0.750 0.013 0.961
17 Sb 0.750 0.487 0.961
18 Sb 0.987 0.250 0.539

=====

Record 9
The following is a DFT calculation (PBE) of Pr3Dy4Zn4 after structural relaxation.

## Properties
**Mass density**: 7352 kg/m3
**ΔE_f**: -0.138 eV per atom

a b c (Å): 9.160 9.160 9.160
angles (deg): 149.13 129.59 60.29
Atoms (fractional coordinates):
1 Pr 0.000 0.000 0.000
2 Pr 0.388 0.888 0.500
3 Pr 0.612 0.112 0.500
4 Dy 0.040 0.328 0.712
5 Dy 0.384 0.672 0.712
6 Dy 0.616 0.328 0.288
7 Dy 0.960 0.672 0.288
8 Zn 0.211 0.211 0.000
9 Zn 0.331 0.500 0.831
10 Zn 0.669 0.500 0.169
11 Zn 0.789 0.789 0.000

=====

Record 10
The following is a DFT calculation (PBE) of Re3BiB after structural relaxation.

## Properties
**Mass density**: 10143 kg/m3
**ΔE_f**: 4.116 eV per atom

a b c (Å): 5.032 5.032 5.032
angles (deg): 90.00 90.00 90.00
Atoms (fractional coordinates):
1 Re 0.000 0.000 0.500
2 Re 0.000 0.500 0.000
3 Re 0.500 0.000 0.000
4 Bi 0.000 0.000 0.000
5 B 0.500 0.500 0.500

=====

Record 11
The following is a DFT calculation (PBE) of Sc2CoSn after structural relaxation.

## Properties
**Mass density**: 5514 kg/m3
**ΔE_f**: -0.318 eV per atom

a b c (Å): 3.772 5.001 8.745
angles (deg): 90.00 102.39 90.00
Atoms (fractional coordinates):
1 Sc 0.072 0.250 0.144
2 Sc 0.271 0.750 0.543
3 Sc 0.729 0.250 0.457
4 Sc 0.928 0.750 0.856
5 Co 0.500 0.000 0.000
6 Co 0.500 0.500 0.000
7 Sn 0.369 0.250 0.738
8 Sn 0.631 0.750 0.262

=====

Record 12
The following is a DFT calculation (PBE) of TbPm3Bi2 after structural relaxation.

## Properties
**Mass density**: 8832 kg/m3
**ΔE_f**: -0.647 eV per atom

a b c (Å): 4.625 4.625 8.894
angles (deg): 90.00 90.00 90.00
Atoms (fractional coordinates):
1 Tb 0.000 0.000 0.000
2 Pm 0.000 0.500 0.351
3 Pm 0.500 0.000 0.649
4 Pm 0.500 0.500 0.000
5 Bi 0.000 0.500 0.720
6 Bi 0.500 0.000 0.280